No. 1
The following is a PBE-GGA calculation of a geometry-optimized ZrBe17Co structure, from Alexandria.

* density of states at the Fermi level: 3.67 states/eV/cell
* SG: R3m, No. 160
* size of the total moment: 0.00 μB/f.u.
* ΔH_f (0 K): -0.130 eV/atom

Cell: 5.558 5.558 5.558 Å, 82.86 82.86 82.86°
Atoms (fractional coordinates):
Be 0.294 0.698 0.009
Be 0.991 0.991 0.507
Zr 0.660 0.660 0.660
Be 0.103 0.103 0.103
Co 0.321 0.321 0.321
Be 0.866 0.344 0.344
Be 0.698 0.009 0.294
Be 0.698 0.294 0.009
Be 0.009 0.698 0.294
Be 0.507 0.991 0.991
Be 0.344 0.344 0.866
Be 0.344 0.866 0.344
Be 0.648 0.648 0.168
Be 0.991 0.507 0.991
Be 0.648 0.168 0.648
Be 0.009 0.294 0.698
Be 0.905 0.905 0.905
Be 0.168 0.648 0.648
Be 0.294 0.009 0.698



No. 2
The following is a PBE-GGA calculation of a geometry-optimized Tb6AgHg8 structure, from Alexandria.

* density of states at the Fermi level: 10.75 states/eV/cell
* SG: R-3, No. 148
* size of the total moment: 0.00 μB/f.u.
* ΔH_f (0 K): -0.274 eV/atom

Cell: 8.179 8.179 8.179 Å, 64.52 64.52 64.52°
Atoms (fractional coordinates):
Hg 0.113 0.780 0.449
Hg 0.449 0.113 0.780
Hg 0.668 0.668 0.668
Hg 0.332 0.332 0.332
Tb 0.611 0.272 0.940
Tb 0.272 0.940 0.611
Tb 0.940 0.611 0.272
Tb 0.728 0.060 0.389
Hg 0.551 0.887 0.220
Tb 0.389 0.728 0.060
Tb 0.060 0.389 0.728
Hg 0.887 0.220 0.551
Hg 0.220 0.551 0.887
Hg 0.780 0.449 0.113
Ag 0.000 0.000 0.000



No. 3
The following is a PBE-GGA calculation of a geometry-optimized Ba2ZrP structure, from Alexandria.

* density of states at the Fermi level: 4.64 states/eV/cell
* SG: Cmmm, No. 65
* size of the total moment: 0.00 μB/f.u.
* ΔH_f (0 K): 0.188 eV/atom

Cell: 5.680 5.680 4.042 Å, 90.00 90.00 112.98°
Atoms (fractional coordinates):
P 0.000 0.000 0.500
Zr 0.500 0.500 0.500
Ba 0.000 0.500 0.000
Ba 0.500 0.000 0.000



No. 4
The following is a PBE-GGA calculation of a geometry-optimized PmBRh2 structure, from Alexandria.

* density of states at the Fermi level: 1.63 states/eV/cell
* SG: P4/nmm, No. 129
* size of the total moment: 0.00 μB/f.u.
* ΔH_f (0 K): -0.584 eV/atom
* offset from the most stable computed form: 0.000 kcal/mol of atoms

Cell: 3.967 3.967 8.493 Å, 90.00 90.00 90.00°
Atoms (fractional coordinates):
B 0.500 0.000 0.608
Pm 0.500 0.000 0.209
B 0.000 0.500 0.392
Rh 0.500 0.500 0.500
Pm 0.000 0.500 0.791
Rh 0.500 0.000 0.853
Rh 0.000 0.500 0.147
Rh 0.000 0.000 0.500



No. 5
The following is a PBE-GGA calculation of a geometry-optimized LiThNiRu structure, from Alexandria.

* density of states at the Fermi level: 2.14 states/eV/cell
* SG: F-43m, No. 216
* size of the total moment: 0.00 μB/f.u.
* ΔH_f (0 K): -0.154 eV/atom

Cell: 4.605 4.605 4.605 Å, 60.00 60.00 60.00°
Atoms (fractional coordinates):
Ni 0.750 0.750 0.750
Th 0.500 0.500 0.500
Ru 0.250 0.250 0.250
Li 0.000 0.000 0.000



No. 6
The following is a PBE-GGA calculation of a geometry-optimized Rb2Ge2Te5 structure, from Alexandria.

* density of states at the Fermi level: 4.72 states/eV/cell
* SG: C2/m, No. 12
* size of the total moment: 0.00 μB/f.u.
* E_form (uncorrected): -3.07 eV/f.u.
* offset from the most stable computed form: 0.955 kcal/mol of atoms

Cell: 5.179 8.049 10.081 Å, 106.74 90.00 108.77°
Atoms (fractional coordinates):
Te 0.637 0.275 0.998
Te 0.000 0.000 0.000
Te 0.100 0.200 0.621
Ge 0.164 0.328 0.893
Ge 0.836 0.672 0.107
Rb 0.576 0.153 0.337
Te 0.363 0.725 0.002
Rb 0.424 0.847 0.663
Te 0.900 0.800 0.379



No. 7
The following is a PBE-GGA calculation of a geometry-optimized Ta2SiOs structure, from Alexandria.

* density of states at the Fermi level: 2.46 states/eV/cell
* SG: I-4m2, No. 119
* size of the total moment: 0.00 μB/f.u.
* E_form (uncorrected): -0.80 eV/f.u.

Cell: 5.248 5.248 5.248 Å, 138.10 138.10 60.75°
Atoms (fractional coordinates):
Ta 0.250 0.750 0.500
Ta 0.000 0.000 0.000
Os 0.500 0.500 0.000
Si 0.750 0.250 0.500



No. 8
The following is a PBE-GGA calculation of a geometry-optimized Tm6AlIn3 structure, from Alexandria.

* density of states at the Fermi level: 17.94 states/eV/cell
* SG: P2_1/m, No. 11
* size of the total moment: 0.00 μB/f.u.
* ΔH_f (0 K): -0.335 eV/atom

Cell: 5.232 9.093 11.494 Å, 107.90 90.00 90.00°
Atoms (fractional coordinates):
Tm 0.250 0.464 0.087
Tm 0.250 0.235 0.497
Tm 0.750 0.902 0.125
In 0.750 0.621 0.218
In 0.750 0.474 0.618
Tm 0.750 0.862 0.825
Tm 0.250 0.098 0.875
Tm 0.250 0.138 0.175
Tm 0.750 0.765 0.503
Tm 0.750 0.334 0.330
Tm 0.750 0.150 0.683
In 0.250 0.526 0.382
Al 0.250 0.957 0.602
Al 0.750 0.043 0.398
In 0.250 0.379 0.782
Tm 0.250 0.850 0.317
In 0.250 0.777 0.968
In 0.750 0.223 0.032
Tm 0.250 0.666 0.670
Tm 0.750 0.536 0.913



No. 9
The following is a PBE-GGA calculation of a geometry-optimized Sc2HgBiBr structure, from Alexandria.

* density of states at the Fermi level: 5.12 states/eV/cell
* SG: P4/mmm, No. 123
* size of the total moment: 0.00 μB/f.u.
* E_form (uncorrected): 0.91 eV/f.u.

Cell: 5.024 5.729 5.024 Å, 90.00 90.00 90.00°
Atoms (fractional coordinates):
Sc 0.500 0.000 0.000
Sc 0.000 0.000 0.500
Hg 0.500 0.500 0.500
Br 0.000 0.000 0.000
Bi 0.000 0.500 0.000



No. 10
The following is a PBE-GGA calculation of a geometry-optimized MgPaIrRu structure, from Alexandria.

* density of states at the Fermi level: 2.98 states/eV/cell
* SG: F-43m, No. 216
* size of the total moment: 0.00 μB/f.u.
* ΔH_f (0 K): -0.504 eV/atom
* offset from the most stable computed form: 2.434 kcal/mol of atoms

Cell: 4.693 4.693 4.693 Å, 60.00 60.00 60.00°
Atoms (fractional coordinates):
Ru 0.750 0.750 0.750
Ir 0.250 0.250 0.250
Pa 0.500 0.500 0.500
Mg 0.000 0.000 0.000



No. 11
The following is a PBE-GGA calculation of a geometry-optimized Sc2ZnAg structure, from Alexandria.

* density of states at the Fermi level: 4.72 states/eV/cell
* SG: Cm, No. 8
* size of the total moment: 0.03 μB/f.u.
* ΔH_f (0 K): -0.205 eV/atom

Cell: 5.522 5.522 4.945 Å, 72.55 72.55 33.62°
Atoms (fractional coordinates):
Sc 0.013 0.013 0.958
Ag 0.771 0.771 0.773
Sc 0.233 0.233 0.303
Zn 0.483 0.483 0.466



No. 12
The following is a PBE-GGA calculation of a geometry-optimized BeGaHRu2 structure, from Alexandria.

* density of states at the Fermi level: 4.95 states/eV/cell
* SG: P4/mmm, No. 123
* size of the total moment: 0.00 μB/f.u.
* calculated total energy: -0.4303 Ry/atom

Cell: 4.097 4.097 3.117 Å, 90.00 90.00 90.00°
Atoms (fractional coordinates):
Ru 0.000 0.500 0.000
Be 0.000 0.000 0.500
H 0.000 0.000 0.000
Ga 0.500 0.500 0.500
Ru 0.500 0.000 0.000